Compound: Pr2TmInO
Source: Alexandria via LeMat-Bulk
Functional: PBE
Structure: relaxed

Calculated values
- Electronic total energy: -28.66 eV/cell
- Uncorrected formation energy: -1.3872 eV/atom
- Magnetization: 0.00 μB/cell

The structure in POSCAR format:
```
Pr2TmInO
1.0
4.639 0.000 0.000
0.000 5.094 0.000
0.000 0.000 5.094
Tm Pr O In
1 2 1 1
Direct
0.500 0.000 0.000
0.000 0.000 0.500
0.000 0.500 0.000
0.000 0.000 0.000
0.500 0.500 0.500
```

Compound: NaTmZnGe
Source: Alexandria via LeMat-Bulk
Functional: PBE
Structure: relaxed

Calculated values
- Energy of formation from the pure elements: -0.273 eV/atom
- Electronic total energy: -12.78 eV/cell
- Magnetization: 0.00 μB/cell

The structure in POSCAR format:
```
NaTmZnGe
1.0
4.933 0.000 0.000
2.466 4.272 0.000
2.466 1.424 4.028
Ge Tm Na Zn
1 1 1 1
Direct
0.250 0.250 0.250
0.500 0.500 0.500
0.000 0.000 0.000
0.750 0.750 0.750
```

Compound: Cs3ZnH6
Source: Alexandria via LeMat-Bulk
Functional: PBE
Structure: relaxed

Calculated values
- Electronic total energy: -47.26 eV/cell
- Magnetization: 1.11 μB/cell
- Energy relative to the lowest polymorph listed for this composition: 0.0 kJ/mol of atoms

The structure in POSCAR format:
```
Cs3ZnH6
1.0
-3.351 1.633 -2.234
4.797 -2.627 -9.117
-5.968 -8.315 2.875
Cs H Zn
6 12 2
Direct
0.145 0.405 0.595
0.634 0.929 0.684
0.134 0.071 0.316
0.645 0.595 0.405
0.134 0.684 0.929
0.634 0.316 0.071
0.139 0.369 0.303
0.703 0.223 0.777
0.643 0.890 0.110
0.203 0.777 0.223
0.639 0.631 0.697
0.678 0.868 0.363
0.678 0.637 0.132
0.139 0.697 0.631
0.178 0.363 0.868
0.639 0.303 0.369
0.143 0.110 0.890
0.178 0.132 0.637
0.094 0.207 0.793
0.594 0.793 0.207
```

Compound: AlSi2Pt
Source: Alexandria via LeMat-Bulk
Functional: PBE
Structure: relaxed

Calculated values
- Electronic total energy: -21.25 eV/cell
- Uncorrected formation energy: -0.1548 eV/atom
- Magnetization: 0.00 μB/cell

The structure in POSCAR format:
```
AlSi2Pt
1.0
-3.160 -0.945 1.671
2.286 -4.254 -2.226
1.943 -1.883 2.503
Si Al Pt
2 1 1
Direct
0.500 0.000 0.500
0.000 0.000 0.000
0.000 0.500 0.500
0.500 0.500 0.000
```